Ta2MnRu: PBEsol geometry, SCAN.

abc: 3.1924 4.4700 5.0187
angles: 116.44 108.55 90.00
With the nearest neighbours (Å) after each atom.
Fractional positions:
Ru: 0.5000 0.0000 0.0000  4 Ta 2.64, 4 Mn 2.75
Ta: 0.2509 0.2509 0.5018  2 Mn 2.63, 2 Ru 2.64, 4 Ta 2.75
Ta: 0.7491 0.7491 0.4982  2 Mn 2.63, 2 Ru 2.64, 4 Ta 2.75
Mn: 0.0000 0.5000 0.0000  4 Ta 2.63, 4 Ru 2.75

Output
space-group type	Immm
volume	14.99	Å³ per atom
energy of formation	-196	meV per atom